DFT (GGA-PBE) results for a relaxed structure of LiTlGe2.

Computed properties:
Total moment (μB per atom): 0.0000
Energy above the most stable polymorph in this dataset (meV/atom): 0
Space group: I-42d, No. 122
Energy (eV per atom): -3.299

a = 9.6925 Å, b = 9.6925 Å, c = 9.6925 Å
α = 153.79°, β = 153.79°, γ = 37.40°
Fractional coordinates of all 8 atoms:
Li (0.0000, 0.0000, 0.0000)
Li (0.7500, 0.2500, 0.5000)
Tl (0.2500, 0.7500, 0.5000)
Tl (0.5000, 0.5000, 0.0000)
Ge (0.0422, 0.6250, 0.9172)
Ge (0.3750, 0.2922, 0.4172)
Ge (0.7078, 0.1250, 0.0828)
Ge (0.8750, 0.9578, 0.5828)

=====

DFT (GGA-PBE) results for a relaxed structure of BaTa2In.

Computed properties:
Total moment (μB per atom): 0.0000
Energy above the most stable polymorph in this dataset (meV/atom): 676
Space group: I4/mmm, No. 139
Energy (eV per atom): -6.032

a = 5.7346 Å, b = 5.7346 Å, c = 5.7346 Å
α = 133.93°, β = 133.93°, γ = 67.20°
Fractional coordinates of all 4 atoms:
Ba (0.0000, 0.0000, 0.0000)
Ta (0.2500, 0.7500, 0.5000)
Ta (0.7500, 0.2500, 0.5000)
In (0.5000, 0.5000, 0.0000)

=====

DFT (GGA-PBE) results for a relaxed structure of TaCd4Pd5.

Computed properties:
Total moment (μB per atom): 0.0000
Space group: P4/mmm, No. 123
Energy (eV per atom): -4.522

a = 2.9885 Å, b = 2.9885 Å, c = 19.2769 Å
α = 90.00°, β = 90.00°, γ = 90.00°
Fractional coordinates of all 10 atoms:
Ta (0.0000, 0.0000, 0.0000)
Cd (0.0000, 0.0000, 0.2009)
Cd (0.0000, 0.0000, 0.4002)
Cd (0.0000, 0.0000, 0.5998)
Cd (0.0000, 0.0000, 0.7991)
Pd (0.5000, 0.5000, 0.0968)
Pd (0.5000, 0.5000, 0.3005)
Pd (0.5000, 0.5000, 0.5000)
Pd (0.5000, 0.5000, 0.6995)
Pd (0.5000, 0.5000, 0.9032)

=====

DFT (GGA-PBE) results for a relaxed structure of PmTlPd.

Computed properties:
Total moment (μB per atom): 0.0000
Energy above the most stable polymorph in this dataset (meV/atom): 84
Space group: P-6m2, No. 187
Energy (eV per atom): -4.650

a = 4.8063 Å, b = 4.8063 Å, c = 3.6324 Å
α = 90.00°, β = 90.00°, γ = 120.00°
Fractional coordinates of all 3 atoms:
Pm (0.0000, 0.0000, 0.0000)
Tl (0.6667, 0.3333, 0.5000)
Pd (0.3333, 0.6667, 0.5000)

=====

DFT (GGA-PBE) results for a relaxed structure of KSiTe2.

Computed properties:
Energy relative to the elements, uncorrected (eV per atom): 0.0309
Total moment (μB per atom): 0.0000
Space group: C2/m, No. 12
Energy (eV per atom): -3.170

a = 6.0283 Å, b = 6.0283 Å, c = 3.1597 Å
α = 90.82°, β = 90.82°, γ = 89.96°
Fractional coordinates of all 4 atoms:
K (0.0000, 0.0000, 0.0000)
Si (0.5000, 0.5000, 0.0000)
Te (0.0000, 0.5000, 0.5000)
Te (0.5000, 0.0000, 0.5000)

=====

DFT (GGA-PBE) results for a relaxed structure of Nd5ScAg6.

Computed properties:
Total moment (μB per atom): 0.0000
Space group: P2/m, No. 10
Energy (eV per atom): -4.182

a = 5.2454 Å, b = 7.3669 Å, c = 8.3170 Å
α = 90.00°, β = 107.97°, γ = 90.00°
Fractional coordinates of all 12 atoms:
Nd (0.0000, 0.0000, 0.0000)
Nd (0.3297, 0.0000, 0.6600)
Nd (0.3345, 0.5000, 0.6693)
Nd (0.6655, 0.5000, 0.3307)
Nd (0.6703, 0.0000, 0.3400)
Sc (0.0000, 0.5000, 0.0000)
Ag (0.1580, 0.2627, 0.3151)
Ag (0.1580, 0.7373, 0.3151)
Ag (0.5000, 0.2663, 0.0000)
Ag (0.5000, 0.7337, 0.0000)
Ag (0.8420, 0.2627, 0.6849)
Ag (0.8420, 0.7373, 0.6849)